No. 1
This record from Alexandria describes a relaxed SiNiIr2 crystal. The functional is GGA-PBE.

Formation energy from raw total energies ... -0.8 eV/f.u.
Spin magnetization ... 0.00 μB/cell

abc: 2.8221 2.8221 6.4793
angles: 90.00 90.00 90.00
Fractional positions:
Ir 0.0000 0.0000 0.9654
Ir 0.5000 0.5000 0.2687
Si 0.5000 0.5000 0.7280
Ni 0.0000 0.0000 0.5379



No. 2
This record from Alexandria describes a relaxed RhCl3 crystal. The functional is GGA-PBE.

Formation energy from raw total energies ... 1.0 eV/f.u.
Spin magnetization ... 3.99 μB/cell

abc: 3.4639 3.4639 9.2577
angles: 90.00 90.00 120.00
Each line ends with the local moment (μB).
Fractional positions:
Rh 0.6667 0.3333 0.7500  2.10
Cl 0.0000 0.0000 0.5785  0.39
Cl 0.0000 0.0000 0.9215  0.39
Cl 0.6667 0.3333 0.2500  0.66



No. 3
This record from Alexandria describes a relaxed NaScC crystal. The functional is GGA-PBE.

Excess energy over the best structure of this formula in the dataset ... 227.2 meV/atom
Formation energy ... 0.084 eV per atom
Spin magnetization ... 0.00 μB/cell

abc: 6.4963 4.3220 5.6503
angles: 90.06 115.69 109.37
Fractional positions:
C 0.0000 0.4998 0.3791
C 0.0000 0.5002 0.6209
Sc 0.0000 0.5000 0.0000
Sc 0.0000 0.0000 0.5000
Na 0.4857 0.7430 0.7428
Na 0.5143 0.2570 0.2572



No. 4
This record from Alexandria describes a relaxed BaTa2Cr crystal. The functional is GGA-PBE.

Excess energy over the best structure of this formula in the dataset ... 129.4 meV/atom
Formation energy ... 0.763 eV per atom
Spin magnetization ... 0.03 μB/cell

abc: 4.2329 4.2329 7.0671
angles: 72.54 72.54 60.08
Fractional positions:
Cr 0.2500 0.2500 0.2500
Ta 0.9538 0.9538 0.1391
Ta 0.5462 0.5462 0.3609
Ba 0.7500 0.7500 0.7500



Q: Which uncorrected energy values were calculated for the entries above? A: -7.44, -2.98, -5.54, -8.05, in eV per atom.